Record 1
# MgSiCl

A relaxed structure of MgSiCl (PBE-GGA, Alexandria via LeMat-Bulk).

Unit cell a=3.2753 b=3.2753 c=8.0124 alpha=90.00 beta=90.00 gamma=120.00
With the nearest neighbours (Å) after each atom.
Positions (direct):
Cl 0.0000 0.0000 0.1128  3 Mg 2.44
Mg 0.6667 0.3333 0.3044  3 Cl 2.44
Si 0.3333 0.6667 0.5828  3 Mg 2.92

## Properties
- D(E_F): 1.2 states/eV/f.u.
- Uncorrected formation energy: -0.97 eV per formula unit
- Symmetry: P3m1 (156)

Record 2
# MgSiCl2

A relaxed structure of MgSiCl2 (PBE-GGA, Alexandria via LeMat-Bulk).

Unit cell a=3.0815 b=3.0816 c=12.3050 alpha=90.00 beta=90.00 gamma=90.00
With the nearest neighbours (Å) after each atom.
Positions (direct):
Mg 0.5000 0.5000 0.2500  8 Cl 2.65
Cl 0.0000 0.0000 0.3730  4 Mg 2.65
Cl 0.0000 0.0000 0.1270  4 Mg 2.65
Si 0.5000 0.5000 0.7500  4 Si 3.08

## Properties
- D(E_F): 1.8 states/eV/f.u.
- Uncorrected formation energy: -1.91 eV per formula unit
- Symmetry: P4/mmm (123)
- ΔE to the lowest computed polymorph: 256 meV/atom

Record 3
# MgSiCl6

A relaxed structure of MgSiCl6 (PBE-GGA, Alexandria via LeMat-Bulk).

Unit cell a=6.0123 b=6.0188 c=6.9648 alpha=64.40 beta=81.66 gamma=70.38
With the nearest neighbours (Å) after each atom.
Positions (direct):
Cl 0.2761 0.2759 0.0000  1 Si 2.20
Cl 0.7302 0.3976 0.7451  1 Si 2.26, 1 Mg 2.46
Cl 0.2698 0.6024 0.2549  1 Si 2.26, 1 Mg 2.46
Cl 0.7239 0.7241 0.0000  1 Si 2.20
Cl 0.7302 0.1427 0.2549  1 Si 2.26, 1 Mg 2.46
Cl 0.2698 0.8573 0.7451  1 Si 2.26, 1 Mg 2.46
Mg 0.0000 0.0000 0.0000  6 Cl 2.46-2.71
Si 0.5000 0.5000 0.0000  6 Cl 2.20-2.26

## Properties
- D(E_F): 0.0 states/eV/f.u.
- Uncorrected formation energy: -9.79 eV per formula unit
- Symmetry: C2/m (12)

Record 4
# MgSiCl2

A relaxed structure of MgSiCl2 (PBE-GGA, Alexandria via LeMat-Bulk).

Unit cell a=6.4439 b=6.4439 c=5.4402 alpha=79.53 beta=79.53 gamma=28.95
With the nearest neighbours (Å) after each atom.
Positions (direct):
Si 0.1410 0.1410 0.2774  1 Cl 2.28
Cl 0.0437 0.0437 0.9629  1 Si 2.28
Cl 0.8374 0.8374 0.6309  2 Mg 2.38
Mg 0.4779 0.4779 0.6287  2 Cl 2.38

## Properties
- D(E_F): 0.2 states/eV/f.u.
- Uncorrected formation energy: -2.43 eV per formula unit
- Symmetry: Cm (8)
- ΔE to the lowest computed polymorph: 127 meV/atom

Record 5
# Mg2SiCl

A relaxed structure of Mg2SiCl (PBE-GGA, Alexandria via LeMat-Bulk).

Unit cell a=3.9109 b=3.9109 c=5.4542 alpha=90.00 beta=90.00 gamma=90.00
With the nearest neighbours (Å) after each atom.
Positions (direct):
Si 0.0000 0.0000 0.3755  6 Mg 2.72-2.77
Cl 0.5000 0.5000 0.8761  6 Mg 2.72-2.77
Mg 0.0000 0.0000 0.8746  2 Si 2.72-2.73, 4 Cl 2.77
Mg 0.5000 0.5000 0.3739  2 Cl 2.72-2.74, 4 Si 2.77

## Properties
- D(E_F): 1.4 states/eV/f.u.
- Uncorrected formation energy: -1.84 eV per formula unit
- Symmetry: P4mm (99)
- ΔE to the lowest computed polymorph: 81 meV/atom

Record 6
# Mg2SiCl

A relaxed structure of Mg2SiCl (PBE-GGA, Alexandria via LeMat-Bulk).

Unit cell a=4.7212 b=4.7212 c=4.7212 alpha=114.89 beta=114.89 gamma=99.11
With the nearest neighbours (Å) after each atom.
Positions (direct):
Si 0.2500 0.7500 0.5000  8 Mg 2.97, 2 Cl 3.06
Cl 0.7500 0.2500 0.5000  8 Mg 2.97, 2 Si 3.06
Mg 0.5000 0.5000 0.0000  4 Cl 2.97, 4 Si 2.97, 2 Mg 3.06
Mg 0.0000 0.0000 0.0000  4 Cl 2.97, 4 Si 2.97, 2 Mg 3.06

## Properties
- D(E_F): 2.2 states/eV/f.u.
- Uncorrected formation energy: -0.48 eV per formula unit
- Symmetry: I4/mmm (139)
- ΔE to the lowest computed polymorph: 422 meV/atom

Record 7
# MgSiCl2

A relaxed structure of MgSiCl2 (PBE-GGA, Alexandria via LeMat-Bulk).

Unit cell a=12.5043 b=12.5043 c=12.5043 alpha=15.52 beta=15.52 gamma=15.52
With the nearest neighbours (Å) after each atom.
Positions (direct):
Mg 0.2500 0.2500 0.2500  6 Cl 2.45
Cl 0.5434 0.5434 0.5434  3 Mg 2.45
Cl 0.9566 0.9566 0.9566  3 Mg 2.45
Si 0.7500 0.7500 0.7500  6 Si 3.38

## Properties
- D(E_F): 1.1 states/eV/f.u.
- Uncorrected formation energy: -2.94 eV per formula unit
- Symmetry: R-3m (166)
- ΔE to the lowest computed polymorph: 0 meV/atom

Record 8
# Mg3SiCl

A relaxed structure of Mg3SiCl (PBE-GGA, Alexandria via LeMat-Bulk).

Unit cell a=5.0848 b=5.0848 c=5.0848 alpha=90.00 beta=90.00 gamma=90.00
With the nearest neighbours (Å) after each atom.
Positions (direct):
Mg 0.0000 0.5000 0.0000  2 Si 2.54
Mg 0.0000 0.0000 0.5000  2 Si 2.54
Mg 0.5000 0.0000 0.0000  2 Si 2.54
Si 0.0000 0.0000 0.0000  6 Mg 2.54
Cl 0.5000 0.5000 0.5000  12 Mg 3.60

## Properties
- D(E_F): 3.1 states/eV/f.u.
- Uncorrected formation energy: -0.73 eV per formula unit
- Symmetry: Pm-3m (221)

Record 9
# MgSiCl

A relaxed structure of MgSiCl (PBE-GGA, Alexandria via LeMat-Bulk).

Unit cell a=4.6521 b=4.6521 c=3.1562 alpha=90.00 beta=90.00 gamma=120.00
With the nearest neighbours (Å) after each atom.
Positions (direct):
Cl 0.0000 0.0000 0.1635  3 Mg 2.69
Si 0.6667 0.3333 0.6673  6 Cl 3.11-3.12, 6 Mg 3.11-3.12, 2 Si 3.16
Mg 0.3333 0.6667 0.1692  3 Cl 2.69

## Properties
- D(E_F): 1.6 states/eV/f.u.
- Uncorrected formation energy: 0.22 eV per formula unit
- Symmetry: P3m1 (156)

Record 10
# MgSiCl2

A relaxed structure of MgSiCl2 (PBE-GGA, Alexandria via LeMat-Bulk).

Unit cell a=6.8064 b=6.8064 c=6.8064 alpha=147.89 beta=147.89 gamma=46.05
With the nearest neighbours (Å) after each atom.
Positions (direct):
Cl 0.2500 0.7500 0.5000  4 Si 2.66
Cl 0.0000 0.0000 0.0000  4 Mg 2.66
Mg 0.5000 0.5000 0.0000  4 Cl 2.66
Si 0.7500 0.2500 0.5000  4 Cl 2.66

## Properties
- D(E_F): 1.7 states/eV/f.u.
- Uncorrected formation energy: -0.78 eV per formula unit
- Symmetry: I-4m2 (119)
- ΔE to the lowest computed polymorph: 540 meV/atom

Record 11
# MgSiCl2

A relaxed structure of MgSiCl2 (PBE-GGA, Alexandria via LeMat-Bulk).

Unit cell a=4.5447 b=4.5447 c=4.0116 alpha=90.00 beta=90.00 gamma=90.00
With the nearest neighbours (Å) after each atom.
Positions (direct):
Cl 0.0000 0.0000 0.0000  4 Mg 3.03, 4 Si 3.03, 4 Cl 3.21
Cl 0.5000 0.5000 0.0000  4 Si 3.03, 4 Mg 3.03, 4 Cl 3.21
Mg 0.5000 0.0000 0.5000  8 Cl 3.03, 4 Si 3.21
Si 0.0000 0.5000 0.5000  8 Cl 3.03, 4 Mg 3.21

## Properties
- D(E_F): 2.3 states/eV/f.u.
- Uncorrected formation energy: -0.24 eV per formula unit
- Symmetry: P4/mmm (123)
- ΔE to the lowest computed polymorph: 674 meV/atom

Record 12
# MgSiCl4

A relaxed structure of MgSiCl4 (PBE-GGA, Alexandria via LeMat-Bulk).

Unit cell a=5.8725 b=5.8725 c=5.8725 alpha=60.00 beta=60.00 gamma=60.00
With the nearest neighbours (Å) after each atom.
Positions (direct):
Cl 0.3759 0.3759 0.3759  6 Cl 2.91-2.96
Cl 0.3759 0.3759 0.8722  6 Cl 2.91-2.96
Cl 0.8722 0.3759 0.3759  6 Cl 2.91-2.96
Cl 0.3759 0.8722 0.3759  6 Cl 2.91-2.96
Si 0.0000 0.0000 0.0000  12 Cl 3.45, 4 Mg 3.60
Mg 0.7500 0.7500 0.7500  12 Cl 3.44, 4 Si 3.60

## Properties
- D(E_F): 4.4 states/eV/f.u.
- Uncorrected formation energy: 3.05 eV per formula unit
- Symmetry: F-43m (216)